{
  "formula": "Sc4Ga3Mo2N3",
  "functional": "PBE-GGA",
  "state": "optimized geometry",
  "e_tot_ev_per_atom": -7.740,
  "vol_a3_per_atom": 14.527,
  "total_magnetization_mub_per_fu": 0.00,
  "lattice_angstrom": [[-0.5922, 3.1706, 4.4229], [-4.7025, 2.6877, 0.7925], [-3.0876, -12.3586, 5.1398]],
  "species": ["Ga", "Ga", "Ga", "Ga", "Ga", "Ga", "N", "N", "N", "N", "N", "N", "Sc", "Sc", "Sc", "Sc", "Sc", "Sc", "Sc", "Sc", "Mo", "Mo", "Mo", "Mo"],
  "frac_coords": [[0.7002, 0.5851, 0.7496], [0.5851, 0.7002, 0.2496], [0.1313, 0.8687, 0.7500], [0.2998, 0.4149, 0.2504], [0.8687, 0.1313, 0.2500], [0.4149, 0.2998, 0.7504], [0.0000, 0.5000, 0.5000], [0.1594, 0.6701, 0.0000], [0.3299, 0.8406, 0.5000], [0.8406, 0.3299, 0.0000], [0.6701, 0.1594, 0.5000], [0.5000, 0.0000, 0.0000], [0.3037, 0.1341, 0.4057], [0.1968, 0.0306, 0.0943], [0.6963, 0.8659, 0.5943], [0.8032, 0.9694, 0.9057], [0.9694, 0.8032, 0.4057], [0.8659, 0.6963, 0.0943], [0.1341, 0.3037, 0.9057], [0.0306, 0.1968, 0.5943], [0.3555, 0.5255, 0.5780], [0.5255, 0.3555, 0.0780], [0.6445, 0.4745, 0.4220], [0.4745, 0.6445, 0.9220]]
}